Entry 1:
A geometry-optimized Cd2InRh3 structure, computed with PBE-GGA.

Computed properties:
energy of formation = -0.23 eV per atom
magnetic moment = 0.0 μB/cell

The structure in POSCAR format:
```
Cd2InRh3
1.0
-1.984 -2.493 0.546
2.257 -2.475 -3.100
3.087 -1.047 6.442
Cd In Rh
2 1 3
Direct
0.000 0.330 0.660
0.000 0.670 0.340
0.000 0.000 0.000
0.500 0.500 0.000
0.500 0.838 0.677
0.500 0.162 0.323
```

---

Entry 2:
A geometry-optimized CsHgSb2W structure, computed with PBE-GGA.

Computed properties:
magnetic moment = 0.0 μB/cell
energy relative to the elements, uncorrected = 0.5096 eV/atom

The structure in POSCAR format:
```
CsHgSb2W
1.0
5.253 0.000 0.000
0.000 6.610 0.000
0.000 0.000 5.253
Cs Sb Hg W
1 2 1 1
Direct
0.000 0.500 0.000
0.000 0.000 0.500
0.500 0.000 0.000
0.500 0.500 0.500
0.000 0.000 0.000
```

---

Entry 3:
A geometry-optimized CaCeTc structure, computed with PBE-GGA.

Computed properties:
energy of formation = 0.13 eV per atom
excess energy over the best structure of this formula in the dataset = 0.0253 eV/atom
magnetic moment = 0.0 μB/cell

The structure in POSCAR format:
```
CaCeTc
1.0
-2.841 -1.953 -0.255
-0.178 -0.191 3.447
-2.242 6.516 -1.489
Ca Tc Ce
1 1 1
Direct
0.970 0.970 0.941
0.314 0.314 0.628
0.715 0.715 0.431
```

---

Entry 4:
A geometry-optimized Li5P2N5 structure, computed with PBE-GGA.

Computed properties:
magnetic moment = 0.0 μB/cell
energy relative to the elements, uncorrected = -0.7535 eV/atom

The structure in POSCAR format:
```
Li5P2N5
1.0
-1.540 4.742 7.030
-8.286 1.497 -2.825
-3.889 -10.179 6.014
Li P N
40 16 40
Direct
0.250 0.818 0.292
0.250 0.012 0.386
0.521 0.173 0.598
0.750 0.488 0.886
0.750 0.682 0.792
0.521 0.673 0.902
0.443 0.687 0.125
0.057 0.687 0.125
0.250 0.758 0.747
0.557 0.813 0.625
0.500 0.000 0.000
0.750 0.974 0.823
0.750 0.008 0.432
0.443 0.187 0.375
0.979 0.173 0.598
0.057 0.187 0.375
0.750 0.242 0.253
0.021 0.327 0.098
0.557 0.313 0.875
0.479 0.327 0.098
0.500 0.500 0.500
0.750 0.508 0.068
0.250 0.512 0.114
0.250 0.526 0.323
0.750 0.474 0.677
0.250 0.492 0.932
0.000 0.500 0.500
0.979 0.673 0.902
0.750 0.742 0.247
0.943 0.813 0.625
0.479 0.827 0.402
0.021 0.827 0.402
0.000 0.000 0.000
0.250 0.992 0.568
0.750 0.988 0.614
0.250 0.026 0.177
0.750 0.182 0.708
0.250 0.258 0.753
0.943 0.313 0.875
0.250 0.318 0.208
0.417 0.508 0.707
0.250 0.841 0.952
0.750 0.836 0.041
0.417 0.008 0.793
0.583 0.992 0.207
0.917 0.992 0.207
0.250 0.164 0.959
0.750 0.159 0.048
0.750 0.336 0.459
0.250 0.341 0.548
0.917 0.492 0.293
0.583 0.492 0.293
0.083 0.508 0.707
0.750 0.659 0.452
0.250 0.664 0.541
0.083 0.008 0.793
0.406 0.355 0.629
0.250 0.510 0.778
0.569 0.513 0.782
0.405 0.657 0.623
0.750 0.693 0.963
0.250 0.689 0.021
0.905 0.843 0.123
0.406 0.855 0.871
0.595 0.843 0.123
0.750 0.990 0.278
0.569 0.013 0.718
0.250 0.999 0.026
0.750 0.001 0.974
0.431 0.987 0.282
0.069 0.987 0.282
0.906 0.145 0.129
0.405 0.157 0.877
0.594 0.145 0.129
0.250 0.189 0.479
0.750 0.193 0.537
0.750 0.311 0.979
0.250 0.307 0.037
0.905 0.343 0.377
0.094 0.355 0.629
0.595 0.343 0.377
0.750 0.490 0.222
0.069 0.487 0.218
0.750 0.501 0.526
0.250 0.499 0.474
0.931 0.513 0.782
0.431 0.487 0.218
0.594 0.645 0.371
0.906 0.645 0.371
0.095 0.657 0.623
0.750 0.811 0.521
0.250 0.807 0.463
0.094 0.855 0.871
0.931 0.013 0.718
0.250 0.010 0.722
0.095 0.157 0.877
```

---

Entry 5:
A geometry-optimized Li2LaP structure, computed with PBE-GGA.

Computed properties:
energy of formation = 0.05 eV per atom
magnetic moment = 0.9 μB/cell

The structure in POSCAR format:
```
Li2LaP
1.0
-5.587 -8.146 1.858
-3.057 -9.562 0.481
-3.005 -8.882 3.618
La Li P
1 2 1
Direct
0.750 0.750 0.750
0.976 0.976 0.976
0.524 0.524 0.524
0.250 0.250 0.250
```

---

Entry 6:
A geometry-optimized CaRe2Au structure, computed with PBE-GGA.

Computed properties:
energy of formation = 0.70 eV per atom
excess energy over the best structure of this formula in the dataset = 0.5358 eV/atom
magnetic moment = 0.0 μB/cell

The structure in POSCAR format:
```
CaRe2Au
1.0
-0.695 -3.453 -1.765
3.736 -0.114 -1.247
4.294 -6.825 7.265
Re Ca Au
4 2 2
Direct
0.695 0.125 0.250
0.055 0.625 0.250
0.375 0.305 0.750
0.875 0.945 0.750
0.500 0.500 0.000
0.250 0.750 0.500
0.000 0.000 0.000
0.750 0.250 0.500
```

---

Entry 7:
A geometry-optimized CoH2W structure, computed with PBE-GGA.

Computed properties:
excess energy over the best structure of this formula in the dataset = 0.4379 eV/atom
magnetic moment = 0.0 μB/cell

The structure in POSCAR format:
```
CoH2W
1.0
0.000 2.516 2.516
2.516 0.000 2.516
2.516 2.516 0.000
H Co W
2 1 1
Direct
0.250 0.250 0.250
0.750 0.750 0.750
0.000 0.000 0.000
0.500 0.500 0.500
```

---

Entry 8:
A geometry-optimized LaPrSmPb structure, computed with PBE-GGA.

Computed properties:
energy of formation = -0.31 eV per atom
excess energy over the best structure of this formula in the dataset = 0.0000 eV/atom
magnetic moment = 0.0 μB/cell

The structure in POSCAR format:
```
LaPrSmPb
1.0
4.926 0.000 0.000
0.000 4.938 0.000
-2.463 -2.469 5.235
La Pr Sm Pb
1 1 1 1
Direct
0.446 0.446 0.891
0.946 0.946 0.891
0.196 0.696 0.391
0.695 0.195 0.391
```